Density functional theory data (PBE-GGA) for a relaxed structure of BaYBe2.

Structure (POSCAR):
```
BaYBe2
1.0
4.7382 -2.0206 0.0000
4.7382 2.0206 0.0000
-4.1060 0.0000 6.1017
Ba Y Be
1 1 2
Direct
0.0000 0.0000 0.0000
0.5000 0.5000 0.5000
0.2318 0.2318 0.5437
0.7682 0.7682 0.4563
```

Formation enthalpy at 0 K   0.351 eV/atom
Space-group type   C2/m
V   29.21 A^3/atom
DOS at the Fermi energy   3.94 states/eV per cell
ΔE to the lowest computed polymorph   108.5 meV/atom
Calculated total energy   -14.4 eV per cell